Entry 1:
Below is crystalline MgGaSe3 at its relaxed geometry, with properties calculated at the PBE-GGA level.

Output
- Crystal system: cubic
- M_tot: 0.00 Bohr magnetons per cell
- SG: Pm-3m
- Relative energy among the computed polymorphs: 0 meV per atom
- Total DFT energy (no corrections): -3.008 eV/atom
- Formation energy from raw total energies: 0.7 kJ per mole of atoms

```
5
Lattice="4.988 0.000 0.000 0.000 4.988 0.000 0.000 0.000 4.988" Properties=species:S:1:pos:R:3 pbc="T T T"
Mg 0.000 0.000 0.000
Ga 2.494 2.494 2.494
Se 0.000 2.494 2.494
Se 2.494 0.000 2.494
Se 2.494 2.494 0.000
```

Entry 2:
Below is crystalline K12Ag3Hg5 at its relaxed geometry, with properties calculated at the PBE-GGA level.

Output
- Crystal system: cubic
- M_tot: 0.02 Bohr magnetons per cell
- SG: Ia-3d
- Total DFT energy (no corrections): -1.110 eV/atom
- Energy relative to the elements: 0.0518 eV per atom

```
80
Lattice="-10.159 10.159 10.159 10.159 -10.159 10.159 10.159 10.159 -10.159" Properties=species:S:1:pos:R:3 pbc="T T T"
K 3.058 -0.427 1.617
K 12.181 6.697 -5.507
K 9.732 -1.617 3.058
K 15.667 -2.022 3.463
K 13.217 0.427 1.617
K 12.181 -3.463 5.507
K 1.617 3.058 -0.427
K 13.622 4.652 -2.022
K 6.697 5.507 -2.022
K 8.543 3.058 0.427
K -0.427 1.617 3.058
K 5.507 -2.022 6.697
K 9.732 8.543 -3.058
K 5.507 2.022 3.463
K 8.543 -3.058 9.732
K 6.697 -5.507 12.181
K 3.463 5.507 2.022
K 11.776 7.102 0.427
K 3.058 9.732 -1.617
K 12.181 3.463 4.652
K 5.507 12.181 -3.463
K 9.732 1.617 7.102
K 2.022 3.463 5.507
K 3.058 0.427 8.543
K 7.102 9.732 1.617
K 8.138 6.697 4.652
K 0.427 8.543 3.058
K 4.652 -2.022 13.622
K -2.022 6.697 5.507
K 7.102 0.427 11.776
K -1.617 3.058 9.732
K 6.697 4.652 8.138
K 3.463 15.667 -2.022
K 1.617 13.217 0.427
K 4.652 8.138 6.697
K 0.427 1.617 13.217
K 4.652 12.181 3.463
K 10.587 8.543 7.102
K 1.617 7.102 9.732
K 3.463 4.652 12.181
K -3.463 5.507 12.181
K 8.543 7.102 10.587
K -2.022 13.622 4.652
K -3.058 9.732 8.543
K -5.507 12.181 6.697
K 0.427 11.776 7.102
K -2.022 3.463 15.667
K 7.102 10.587 8.543
Ag 5.080 2.540 0.000
Ag 10.159 5.080 -2.540
Ag 2.540 0.000 5.080
Ag 12.699 0.000 5.080
Ag 0.000 5.080 2.540
Ag 5.080 -2.540 10.159
Ag 5.080 12.699 0.000
Ag 10.159 5.080 7.620
Ag -2.540 10.159 5.080
Ag 7.620 10.159 5.080
Ag 0.000 5.080 12.699
Ag 5.080 7.620 10.159
Hg 0.000 0.000 0.000
Hg 5.080 5.080 -5.080
Hg 5.080 -5.080 5.080
Hg 10.159 0.000 0.000
Hg 15.239 2.540 0.000
Hg 10.159 -5.080 7.620
Hg 7.620 10.159 -5.080
Hg 7.620 0.000 5.080
Hg 5.080 7.620 0.000
Hg 10.159 5.080 2.540
Hg -5.080 5.080 5.080
Hg 0.000 10.159 0.000
Hg 0.000 0.000 10.159
Hg 5.080 5.080 5.080
Hg 0.000 5.080 7.620
Hg 5.080 2.540 10.159
Hg 2.540 10.159 5.080
Hg 2.540 0.000 15.239
Hg 0.000 15.239 2.540
Hg -5.080 7.620 10.159
```

Entry 3:
Below is crystalline CoTe2Se at its relaxed geometry, with properties calculated at the PBE-GGA level.

Output
- Crystal system: trigonal
- M_tot: 0.00 Bohr magnetons per cell
- SG: R-3m
- Total DFT energy (no corrections): -4.218 eV/atom
- Formation energy from raw total energies: 0.0 kJ per mole of atoms

```
4
Lattice="1.923 1.110 7.930 -1.923 1.110 7.930 0.000 -2.221 7.930" Properties=species:S:1:pos:R:3 pbc="T T T"
Co 0.000 0.000 0.000
Te 0.000 0.000 9.210
Te 0.000 0.000 14.579
Se 0.000 0.000 11.895
```

Entry 4:
Below is crystalline HfInSi at its relaxed geometry, with properties calculated at the PBE-GGA level.

Output
- Crystal system: monoclinic
- M_tot: 0.00 Bohr magnetons per cell
- SG: C2/m
- Relative energy among the computed polymorphs: 103 meV per atom
- Total DFT energy (no corrections): -6.235 eV/atom
- Formation energy from raw total energies: -18.9 kJ per mole of atoms

```
6
Lattice="4.194 -3.179 0.000 4.194 3.179 0.000 -0.180 0.000 5.113" Properties=species:S:1:pos:R:3 pbc="T T T"
Hf 1.613 0.000 2.549
Hf 6.596 0.000 2.564
In 2.097 1.590 0.000
In 2.097 -1.590 0.000
Si 4.104 1.185 2.556
Si 4.104 -1.185 2.556
```

Entry 5:
Below is crystalline RbGa3H at its relaxed geometry, with properties calculated at the PBE-GGA level.

Output
- Crystal system: cubic
- M_tot: 0.00 Bohr magnetons per cell
- SG: Pm-3m
- Total DFT energy (no corrections): -2.249 eV/atom

```
5
Lattice="4.837 0.000 0.000 0.000 4.837 0.000 0.000 0.000 4.837" Properties=species:S:1:pos:R:3 pbc="T T T"
Rb 0.000 0.000 0.000
Ga 0.000 2.418 2.418
Ga 2.418 0.000 2.418
Ga 2.418 2.418 0.000
H 2.418 2.418 2.418
```

Entry 6:
Below is crystalline Rb3MgU2Se6 at its relaxed geometry, with properties calculated at the PBE-GGA level.

Output
- Crystal system: monoclinic
- M_tot: 5.00 Bohr magnetons per cell
- SG: C2/m
- Total DFT energy (no corrections): -5.235 eV/atom
- Formation energy from raw total energies: -119.3 kJ per mole of atoms

```
12
Lattice="3.653 -6.328 0.000 3.653 6.328 0.000 -2.434 0.000 8.006" Properties=species:S:1:pos:R:3 pbc="T T T"
Rb 0.000 0.000 0.000
Rb 3.653 2.102 0.000
Rb 3.653 -2.102 0.000
Mg 2.436 0.000 4.003
U 2.436 4.218 4.003
U 2.436 -4.218 4.003
Se 1.231 2.086 2.455
Se 0.028 0.000 5.549
Se 1.231 -2.086 2.455
Se 3.640 2.086 5.551
Se 4.844 0.000 2.457
Se 3.640 -2.086 5.551
```

Entry 7:
Below is crystalline CeTh6Sc12 at its relaxed geometry, with properties calculated at the PBE-GGA level.

Output
- Crystal system: trigonal
- M_tot: 0.01 Bohr magnetons per cell
- SG: R-3m
- Total DFT energy (no corrections): -6.420 eV/atom
- Energy relative to the elements: 0.2347 eV per atom

```
19
Lattice="6.345 3.663 3.913 -6.345 3.663 3.913 0.000 -7.327 3.913" Properties=species:S:1:pos:R:3 pbc="T T T"
Ce 0.000 0.000 0.000
Th 0.000 -4.138 3.437
Th -3.584 2.069 3.437
Th -3.584 -2.069 8.302
Th 3.584 2.069 3.437
Th 3.584 -2.069 8.302
Th 0.000 4.138 8.302
Sc -1.757 -1.015 2.951
Sc -1.593 -2.759 5.870
Sc -3.185 0.000 5.870
Sc 1.757 -1.015 2.951
Sc 0.000 2.029 2.951
Sc 1.593 -2.759 5.870
Sc -1.593 2.759 5.870
Sc 0.000 -2.029 8.788
Sc -1.757 1.015 8.788
Sc 3.185 0.000 5.870
Sc 1.593 2.759 5.870
Sc 1.757 1.015 8.788
```

Entry 8:
Below is crystalline MoAsPb2 at its relaxed geometry, with properties calculated at the PBE-GGA level.

Output
- Crystal system: orthorhombic
- M_tot: 0.00 Bohr magnetons per cell
- SG: Imm2
- Total DFT energy (no corrections): -5.373 eV/atom
- Energy relative to the elements: 0.3515 eV per atom

```
4
Lattice="-1.655 2.305 6.445 1.655 -2.305 6.445 1.655 2.305 -6.445" Properties=species:S:1:pos:R:3 pbc="T T T"
Mo 0.000 0.000 0.000
As 0.000 2.305 4.534
Pb 1.655 0.000 2.958
Pb 0.000 0.000 6.932
```